Computed, not measured: an optimized crystal structure of TiMo6W5 at the GGA-PBE level of DFT.

a b c (Å): 7.768 7.768 7.768
angles (deg): 146.44 131.86 59.96
Fractional coordinates of all 12 atoms:
1 Ti 0.000 0.000 0.000
2 Mo 0.083 0.833 0.250
3 Mo 0.250 0.500 0.750
4 Mo 0.417 0.167 0.250
5 Mo 0.583 0.833 0.750
6 Mo 0.750 0.500 0.250
7 Mo 0.917 0.167 0.750
8 W 0.166 0.666 0.500
9 W 0.334 0.334 0.000
10 W 0.500 0.000 0.500
11 W 0.666 0.666 0.000
12 W 0.834 0.334 0.500

## Properties
Energy relative to the elements ... -0.090 eV per atom
E_tot ... -138.7 eV per formula unit